MoWSCl2 | PBEsol | optimized geometry

Cell: 4.699 4.699 4.682 Å, 90.00 90.00 90.00°
Last column: magnetic moment on the atom in μB.
Atoms (fractional coordinates):
Mo (0.000, 0.000, 0.000)  0.86
S (0.000, 0.000, 0.500)  -0.09
W (0.500, 0.500, 0.500)  3.46
Cl (0.000, 0.500, 0.000)  0.05
Cl (0.500, 0.000, 0.000)  0.05

Properties
E_form (uncorrected) (eV per atom): 1.08
DOS(E_F) (states/eV/cell): 5.6
M_tot (μB per formula unit): 5.77

TlIn2Hg | PBEsol | optimized geometry

Cell: 3.184 3.184 10.793 Å, 90.00 90.00 110.57°
Atoms (fractional coordinates):
Tl (0.000, 0.000, 0.493)
Hg (0.500, 0.500, 0.244)
In (0.000, 0.000, 0.008)
In (0.500, 0.500, 0.755)

Properties
DOS(E_F) (states/eV/cell): 1.9
M_tot (μB per formula unit): 0.00
ΔE_f (eV/atom): 0.02

Re3MoAu | PBEsol | optimized geometry

Cell: 4.606 4.606 4.606 Å, 90.00 90.00 90.00°
Atoms (fractional coordinates):
Re (0.000, 0.500, 0.000)
Re (0.000, 0.000, 0.500)
Re (0.500, 0.000, 0.000)
Mo (0.000, 0.000, 0.000)
Au (0.500, 0.500, 0.500)

Properties
DOS(E_F) (states/eV/cell): 6.1
M_tot (μB per formula unit): 0.00
ΔE_f (eV/atom): 2.37

TcSbOs2 | PBEsol | optimized geometry

Cell: 2.835 4.097 5.477 Å, 90.00 101.51 90.00°
Atoms (fractional coordinates):
Os (0.101, 0.000, 0.736)
Os (0.899, 0.000, 0.264)
Sb (0.500, 0.500, 0.000)
Tc (0.500, 0.500, 0.500)

Properties
E_form (uncorrected) (eV per atom): 0.49
DOS(E_F) (states/eV/cell): 2.9
M_tot (μB per formula unit): 0.00

Ba6Na16N | PBEsol | optimized geometry

Cell: 10.579 10.579 10.579 Å, 109.47 109.47 109.47°
Atoms (fractional coordinates):
Na (0.500, 0.000, 0.000)
Na (0.000, 0.500, 0.000)
Na (0.500, 0.500, 0.500)
Na (0.000, 0.000, 0.500)
Na (0.654, 0.000, 0.346)
Na (0.346, 0.692, 0.346)
Na (0.654, 0.308, 0.654)
Na (0.346, 0.346, 0.692)
Na (0.654, 0.346, 0.000)
Na (0.308, 0.654, 0.654)
Na (0.000, 0.654, 0.346)
Na (0.692, 0.346, 0.346)
Na (0.654, 0.654, 0.308)
Na (0.000, 0.346, 0.654)
Na (0.346, 0.654, 0.000)
Na (0.346, 0.000, 0.654)
Ba (0.771, 0.771, 0.000)
Ba (0.000, 0.229, 0.229)
Ba (0.000, 0.771, 0.771)
Ba (0.229, 0.000, 0.229)
Ba (0.771, 0.000, 0.771)
Ba (0.229, 0.229, 0.000)
N (0.000, 0.000, 0.000)

Properties
E_form (uncorrected) (eV per atom): -0.06
DOS(E_F) (states/eV/cell): 17.9
M_tot (μB per formula unit): 0.00

CuSi2N | PBEsol | optimized geometry

Cell: 4.942 5.550 4.942 Å, 63.56 90.00 116.44°
Atoms (fractional coordinates):
Si (0.565, 0.750, 0.375)
Si (0.185, 0.750, 0.875)
Si (0.875, 0.250, 0.565)
Si (0.375, 0.250, 0.185)
Cu (0.750, 0.500, 0.750)
Cu (0.000, 0.000, 0.000)
N (0.250, 0.500, 0.250)
N (0.500, 0.000, 0.500)

Properties
E_form (uncorrected) (eV per atom): 0.01
DOS(E_F) (states/eV/cell): 0.6
M_tot (μB per formula unit): 0.00

Zr2TaSi | PBEsol | optimized geometry

Cell: 2.978 2.978 8.703 Å, 90.00 90.00 104.30°
Atoms (fractional coordinates):
Si (0.000, 0.000, 0.488)
Ta (0.500, 0.500, 0.284)
Zr (0.000, 0.000, 0.016)
Zr (0.500, 0.500, 0.713)

Properties
E_form (uncorrected) (eV per atom): -0.17
DOS(E_F) (states/eV/cell): 5.6
M_tot (μB per formula unit): 0.01

NaB2As | PBEsol | optimized geometry

Cell: 5.906 5.826 5.906 Å, 120.46 90.00 120.46°
Atoms (fractional coordinates):
Na (0.750, 0.500, 0.250)
Na (0.500, 0.000, 0.500)
As (0.250, 0.500, 0.750)
As (0.000, 0.000, 0.000)
B (0.287, 0.250, 0.375)
B (0.963, 0.250, 0.875)
B (0.125, 0.750, 0.713)
B (0.625, 0.750, 0.037)

Properties
DOS(E_F) (states/eV/cell): 2.3
M_tot (μB per formula unit): 0.00
ΔE_f (eV/atom): 1.14

Sb11S18 | PBEsol | optimized geometry

Cell: 6.631 7.636 14.876 Å, 75.00 79.44 73.41°
Atoms (fractional coordinates):
Sb (0.289, 0.220, 0.923)
Sb (0.132, 0.864, 0.201)
Sb (0.514, 0.574, 0.618)
Sb (0.496, 0.930, 0.384)
Sb (0.288, 0.719, 0.921)
Sb (0.710, 0.293, 0.063)
Sb (0.132, 0.368, 0.196)
Sb (0.519, 0.055, 0.611)
Sb (0.505, 0.428, 0.387)
Sb (0.897, 0.131, 0.798)
Sb (0.710, 0.790, 0.062)
S (0.992, 0.999, 0.001)
S (0.162, 0.324, 0.766)
S (0.556, 0.423, 0.874)
S (0.195, 0.764, 0.367)
S (0.724, 0.590, 0.461)
S (0.981, 0.509, 0.998)
S (0.161, 0.839, 0.766)
S (0.280, 0.913, 0.541)
S (0.745, 0.734, 0.671)
S (0.431, 0.079, 0.126)
S (0.566, 0.920, 0.885)
S (0.197, 0.268, 0.361)
S (0.733, 0.085, 0.456)
S (0.844, 0.174, 0.228)
S (0.278, 0.400, 0.539)
S (0.806, 0.231, 0.635)
S (0.432, 0.578, 0.126)
S (0.848, 0.671, 0.231)

Properties
E_form (uncorrected) (eV per atom): -0.19
DOS(E_F) (states/eV/cell): 13.2
M_tot (μB per formula unit): 0.00

Bi2Pd3S2 | PBEsol | optimized geometry

Cell: 7.169 7.169 7.169 Å, 109.47 109.47 109.47°
Atoms (fractional coordinates):
Bi (0.994, 0.994, 0.494)
Bi (0.506, 0.000, 0.000)
Bi (0.000, 0.500, 0.006)
Bi (0.500, 0.506, 0.500)
Pd (0.472, 0.750, 0.222)
Pd (0.722, 0.472, 0.250)
Pd (0.750, 0.722, 0.972)
Pd (0.778, 0.028, 0.750)
Pd (0.250, 0.778, 0.528)
Pd (0.028, 0.250, 0.278)
S (0.442, 0.442, 0.942)
S (0.500, 0.058, 0.500)
S (0.058, 0.000, 0.000)
S (0.000, 0.500, 0.558)

Properties
ΔE to the lowest computed polymorph (meV per atom): 0
E_form (uncorrected) (eV per atom): -0.41
DOS(E_F) (states/eV/cell): 3.2
M_tot (μB per formula unit): 0.00

Cd4As2I3 | PBEsol | optimized geometry

Cell: 12.947 12.947 12.947 Å, 90.00 90.00 90.00°
Atoms (fractional coordinates):
Cd (0.033, 0.997, 0.254)
Cd (0.254, 0.033, 0.997)
Cd (0.997, 0.254, 0.033)
Cd (0.503, 0.746, 0.533)
Cd (0.754, 0.467, 0.003)
Cd (0.003, 0.754, 0.467)
Cd (0.246, 0.967, 0.497)
Cd (0.746, 0.533, 0.503)
Cd (0.497, 0.246, 0.967)
Cd (0.533, 0.503, 0.746)
Cd (0.967, 0.497, 0.246)
Cd (0.467, 0.003, 0.754)
Cd (0.967, 0.003, 0.746)
Cd (0.746, 0.967, 0.003)
Cd (0.003, 0.746, 0.967)
Cd (0.497, 0.254, 0.467)
Cd (0.246, 0.533, 0.997)
Cd (0.997, 0.246, 0.533)
Cd (0.754, 0.033, 0.503)
Cd (0.254, 0.467, 0.497)
Cd (0.503, 0.754, 0.033)
Cd (0.467, 0.497, 0.254)
Cd (0.033, 0.503, 0.754)
Cd (0.533, 0.997, 0.246)
Cd (0.220, 0.220, 0.220)
Cd (0.280, 0.780, 0.720)
Cd (0.720, 0.280, 0.780)
Cd (0.780, 0.720, 0.280)
Cd (0.780, 0.780, 0.780)
Cd (0.720, 0.220, 0.280)
Cd (0.280, 0.720, 0.220)
Cd (0.220, 0.280, 0.720)
As (0.106, 0.106, 0.106)
As (0.394, 0.894, 0.606)
As (0.606, 0.394, 0.894)
As (0.894, 0.606, 0.394)
As (0.894, 0.894, 0.894)
As (0.606, 0.106, 0.394)
As (0.394, 0.606, 0.106)
As (0.106, 0.394, 0.606)
As (0.446, 0.446, 0.446)
As (0.054, 0.554, 0.946)
As (0.946, 0.054, 0.554)
As (0.554, 0.946, 0.054)
As (0.554, 0.554, 0.554)
As (0.946, 0.446, 0.054)
As (0.054, 0.946, 0.446)
As (0.446, 0.054, 0.946)
I (0.189, 0.440, 0.259)
I (0.259, 0.189, 0.440)
I (0.440, 0.259, 0.189)
I (0.060, 0.741, 0.689)
I (0.759, 0.311, 0.560)
I (0.560, 0.759, 0.311)
I (0.241, 0.811, 0.940)
I (0.741, 0.689, 0.060)
I (0.940, 0.241, 0.811)
I (0.689, 0.060, 0.741)
I (0.811, 0.940, 0.241)
I (0.311, 0.560, 0.759)
I (0.811, 0.560, 0.741)
I (0.741, 0.811, 0.560)
I (0.560, 0.741, 0.811)
I (0.940, 0.259, 0.311)
I (0.241, 0.689, 0.440)
I (0.440, 0.241, 0.689)
I (0.759, 0.189, 0.060)
I (0.259, 0.311, 0.940)
I (0.060, 0.759, 0.189)
I (0.311, 0.940, 0.259)
I (0.189, 0.060, 0.759)
I (0.689, 0.440, 0.241)

Properties
E_form (uncorrected) (eV per atom): -0.31
M_tot (μB per formula unit): 0.00

TlCoBr2 | PBEsol | optimized geometry

Cell: 3.523 3.523 8.337 Å, 90.00 90.00 90.00°
Last column: magnetic moment on the atom in μB.
Atoms (fractional coordinates):
Tl (0.500, 0.500, 0.793)  -0.02
Co (0.000, 0.000, 0.305)  1.93
Br (0.000, 0.000, 0.023)  0.02
Br (0.500, 0.500, 0.379)  0.11

Properties
ΔE to the lowest computed polymorph (meV per atom): 0
E_form (uncorrected) (eV per atom): -0.06
DOS(E_F) (states/eV/cell): 3.5
M_tot (μB per formula unit): 2.05

Be3AgH | PBEsol | optimized geometry

Cell: 3.507 3.507 3.507 Å, 90.00 90.00 90.00°
Atoms (fractional coordinates):
Be (0.000, 0.500, 0.000)
Be (0.000, 0.000, 0.500)
Be (0.500, 0.000, 0.000)
Ag (0.500, 0.500, 0.500)
H (0.000, 0.000, 0.000)

Properties
DOS(E_F) (states/eV/cell): 0.3
M_tot (μB per formula unit): 0.00
Electronic total energy (eV/atom): -3.48

TlNiS2Cl | PBEsol | optimized geometry

Cell: 4.461 4.461 4.840 Å, 90.00 90.00 90.00°
Last column: magnetic moment on the atom in μB.
Atoms (fractional coordinates):
Ni (0.000, 0.000, 0.000)  0.28
Tl (0.500, 0.500, 0.500)  0.04
S (0.000, 0.500, 0.000)  0.19
S (0.500, 0.000, 0.000)  0.19
Cl (0.000, 0.000, 0.500)  0.03

Properties
ΔE to the lowest computed polymorph (meV per atom): 0
E_form (uncorrected) (eV per atom): -0.09
DOS(E_F) (states/eV/cell): 6.6
M_tot (μB per formula unit): 0.95

CuF2 | PBEsol | optimized geometry

Cell: 3.106 4.623 4.616 Å, 90.00 90.15 90.00°
Last column: magnetic moment on the atom in μB.
Atoms (fractional coordinates):
Cu (0.500, 0.500, 0.500)  0.74
Cu (0.000, 0.000, 0.000)  0.74
F (0.500, 0.195, 0.198)  0.13
F (0.000, 0.695, 0.302)  0.13
F (0.000, 0.305, 0.698)  0.13
F (0.500, 0.805, 0.802)  0.13

Properties
E_form (uncorrected) (eV per atom): -1.49
DOS(E_F) (states/eV/cell): 2.3
M_tot (μB per formula unit): 1.01

Na2Cd2Sn | PBEsol | optimized geometry

Cell: 4.895 7.353 7.353 Å, 90.00 90.00 90.00°
Atoms (fractional coordinates):
Na (0.500, 0.174, 0.674)
Na (0.500, 0.674, 0.826)
Na (0.500, 0.826, 0.326)
Na (0.500, 0.326, 0.174)
Sn (0.000, 0.000, 0.000)
Sn (0.000, 0.500, 0.500)
Cd (0.000, 0.367, 0.867)
Cd (0.000, 0.867, 0.633)
Cd (0.000, 0.633, 0.133)
Cd (0.000, 0.133, 0.367)

Properties
DOS(E_F) (states/eV/cell): 4.8
M_tot (μB per formula unit): 0.00
ΔE_f (eV/atom): -0.06

BaBOs3 | PBEsol | optimized geometry

Cell: 4.319 4.319 4.319 Å, 90.00 90.00 90.00°
Last column: magnetic moment on the atom in μB.
Atoms (fractional coordinates):
B (0.000, 0.000, 0.000)  -0.02
Os (0.000, 0.500, 0.000)  0.37
Os (0.000, 0.000, 0.500)  0.37
Os (0.500, 0.000, 0.000)  0.37
Ba (0.500, 0.500, 0.500)  0.03

Properties
ΔE to the lowest computed polymorph (meV per atom): 0
DOS(E_F) (states/eV/cell): 7.1
M_tot (μB per formula unit): 1.22
ΔE_f (eV/atom): 0.94

CdS2O7 | PBEsol | optimized geometry

Cell: 5.217 8.324 13.049 Å, 90.00 90.00 91.19°
Atoms (fractional coordinates):
Cd (0.200, 0.330, 0.348)
Cd (0.300, 0.170, 0.848)
Cd (0.800, 0.670, 0.652)
Cd (0.700, 0.830, 0.152)
S (0.676, 0.309, 0.524)
S (0.824, 0.191, 0.024)
S (0.324, 0.691, 0.476)
S (0.176, 0.809, 0.976)
S (0.697, 0.413, 0.185)
S (0.803, 0.087, 0.685)
S (0.303, 0.587, 0.815)
S (0.197, 0.913, 0.315)
O (0.846, 0.366, 0.444)
O (0.654, 0.134, 0.944)
O (0.154, 0.634, 0.556)
O (0.346, 0.866, 0.056)
O (0.656, 0.417, 0.611)
O (0.844, 0.083, 0.111)
O (0.344, 0.583, 0.389)
O (0.156, 0.917, 0.889)
O (0.417, 0.430, 0.825)
O (0.083, 0.070, 0.325)
O (0.583, 0.570, 0.175)
O (0.917, 0.930, 0.675)
O (0.177, 0.850, 0.434)
O (0.323, 0.650, 0.934)
O (0.823, 0.150, 0.566)
O (0.677, 0.350, 0.066)
O (0.571, 0.753, 0.512)
O (0.929, 0.747, 0.012)
O (0.429, 0.247, 0.488)
O (0.071, 0.253, 0.988)
O (0.468, 0.915, 0.289)
O (0.032, 0.585, 0.789)
O (0.532, 0.085, 0.711)
O (0.968, 0.415, 0.211)
O (0.041, 0.800, 0.256)
O (0.459, 0.700, 0.756)
O (0.959, 0.200, 0.744)
O (0.541, 0.300, 0.244)

Properties
E_form (uncorrected) (eV per atom): -1.32
DOS(E_F) (states/eV/cell): 0.0
M_tot (μB per formula unit): 0.00